Entry 1:
YCo4Rh after structural relaxation. Source: the Alexandria database, functional PBE-GGA.

Density of states at the Fermi level ... 26.0 states/eV per cell
Electronic total energy ... -171.77 eV for the cell shown
ΔH_f (0 K) ... -117.4 meV per atom

```
data_YCo4Rh
_space_group_name_H-M_alt 'F -4 3 m'
_space_group_IT_number 216
_space_group_name_Hall 'F -4 2 3'
_cell_length_a 6.9392
_cell_length_b 6.9392
_cell_length_c 6.9392
_cell_angle_alpha 90.00
_cell_angle_beta 90.00
_cell_angle_gamma 90.00
loop_
_atom_site_label
_atom_site_type_symbol
_atom_site_fract_x
_atom_site_fract_y
_atom_site_fract_z
Y1 Y 0.0000 0.0000 0.0000
Co1 Co 0.1248 0.1248 0.3752
Rh1 Rh 0.2500 0.2500 0.7500
```



Entry 2:
YCo2Rh2 after structural relaxation. Source: the Alexandria database, functional PBE-GGA.

Density of states at the Fermi level ... 11.0 states/eV per cell
Electronic total energy ... -72.83 eV for the cell shown
Excess energy over the best structure of this formula in the dataset ... 0.000 eV per atom
ΔH_f (0 K) ... -207.6 meV per atom

```
data_YCo2Rh2
_space_group_name_H-M_alt 'I 4/m m m'
_space_group_IT_number 139
_space_group_name_Hall '-I 4 2'
_cell_length_a 4.0780
_cell_length_b 4.0780
_cell_length_c 9.8600
_cell_angle_alpha 90.00
_cell_angle_beta 90.00
_cell_angle_gamma 90.00
loop_
_atom_site_label
_atom_site_type_symbol
_atom_site_fract_x
_atom_site_fract_y
_atom_site_fract_z
Y1 Y 0.0000 0.0000 0.0000
Co1 Co 0.0000 0.0000 0.3905
Rh1 Rh 0.0000 0.5000 0.2500
```



Entry 3:
Y4CoRh after structural relaxation. Source: the Alexandria database, functional PBE-GGA.

Density of states at the Fermi level ... 17.5 states/eV per cell
Electronic total energy ... -168.65 eV for the cell shown
Excess energy over the best structure of this formula in the dataset ... 0.065 eV per atom
ΔH_f (0 K) ... -308.1 meV per atom

```
data_Y4CoRh
_space_group_name_H-M_alt 'I 41 m d'
_space_group_IT_number 109
_space_group_name_Hall 'I 4bw -2'
_cell_length_a 9.1081
_cell_length_b 9.1081
_cell_length_c 8.1037
_cell_angle_alpha 90.00
_cell_angle_beta 90.00
_cell_angle_gamma 90.00
loop_
_atom_site_label
_atom_site_type_symbol
_atom_site_fract_x
_atom_site_fract_y
_atom_site_fract_z
Y1 Y 0.0000 0.2958 0.0000
Y2 Y 0.0000 0.3021 0.4858
Co1 Co 0.0000 0.0000 0.9909
Rh1 Rh 0.0000 0.0000 0.4953
```



Entry 4:
Y4CoRh after structural relaxation. Source: the Alexandria database, functional PBE-GGA.

Density of states at the Fermi level ... 27.7 states/eV per cell
Electronic total energy ... -170.22 eV for the cell shown
Excess energy over the best structure of this formula in the dataset ... 0.000 eV per atom
ΔH_f (0 K) ... -373.5 meV per atom

```
data_Y4CoRh
_space_group_name_H-M_alt 'C 1 2/c 1'
_space_group_IT_number 15
_cell_length_a 8.8177
_cell_length_b 13.1804
_cell_length_c 6.2057
_cell_angle_alpha 90.00
_cell_angle_beta 124.63
_cell_angle_gamma 90.00
loop_
_space_group_symop_operation_xyz
'x,y,z'
'-x,-y,-z'
'-x,y,-z+1/2'
'x,-y,z+1/2'
'x+1/2,y+1/2,z'
'-x+1/2,-y+1/2,-z'
'-x+1/2,y+1/2,-z+1/2'
'x+1/2,-y+1/2,z+1/2'
loop_
_atom_site_label
_atom_site_type_symbol
_atom_site_fract_x
_atom_site_fract_y
_atom_site_fract_z
Y1 Y 0.1307 0.1797 0.1038
Y2 Y 0.2052 0.4391 0.2741
Co1 Co 0.0000 0.0018 0.7500
Rh1 Rh 0.0000 0.3620 0.7500
```



Entry 5:
YCoRh2 after structural relaxation. Source: the Alexandria database, functional PBE-GGA.

Density of states at the Fermi level ... 4.6 states/eV per cell
Electronic total energy ... -28.73 eV for the cell shown
ΔH_f (0 K) ... -114.9 meV per atom

```
data_YCoRh2
_space_group_name_H-M_alt 'P 1 2/m 1'
_space_group_IT_number 10
_cell_length_a 2.9875
_cell_length_b 4.2819
_cell_length_c 5.3333
_cell_angle_alpha 90.00
_cell_angle_beta 103.92
_cell_angle_gamma 90.00
loop_
_space_group_symop_operation_xyz
'x,y,z'
'-x,-y,-z'
'-x,y,-z'
'x,-y,z'
loop_
_atom_site_label
_atom_site_type_symbol
_atom_site_fract_x
_atom_site_fract_y
_atom_site_fract_z
Y1 Y 0.0000 0.0000 0.0000
Co1 Co 0.5000 0.0000 0.5000
Rh1 Rh 0.3472 0.5000 0.7183
```



Entry 6:
YCoRh2 after structural relaxation. Source: the Alexandria database, functional PBE-GGA.

Density of states at the Fermi level ... 5.8 states/eV per cell
Electronic total energy ... -29.32 eV for the cell shown
ΔH_f (0 K) ... -261.5 meV per atom

```
data_YCoRh2
_space_group_name_H-M_alt 'P 4/m m m'
_space_group_IT_number 123
_space_group_name_Hall '-P 4 2'
_cell_length_a 4.1053
_cell_length_b 4.1053
_cell_length_c 3.8556
_cell_angle_alpha 90.00
_cell_angle_beta 90.00
_cell_angle_gamma 90.00
loop_
_atom_site_label
_atom_site_type_symbol
_atom_site_fract_x
_atom_site_fract_y
_atom_site_fract_z
Y1 Y 0.0000 0.0000 0.0000
Co1 Co 0.5000 0.5000 0.0000
Rh1 Rh 0.0000 0.5000 0.5000
```



Entry 7:
YCo2Rh after structural relaxation. Source: the Alexandria database, functional PBE-GGA.

Density of states at the Fermi level ... 9.6 states/eV per cell
Electronic total energy ... -57.27 eV for the cell shown
ΔH_f (0 K) ... -152.4 meV per atom

```
data_YCo2Rh
_space_group_name_H-M_alt 'C 1 m 1'
_space_group_IT_number 8
_cell_length_a 7.1650
_cell_length_b 4.1329
_cell_length_c 5.3160
_cell_angle_alpha 90.00
_cell_angle_beta 116.48
_cell_angle_gamma 90.00
loop_
_space_group_symop_operation_xyz
'x,y,z'
'x,-y,z'
'x+1/2,y+1/2,z'
'x+1/2,-y+1/2,z'
loop_
_atom_site_label
_atom_site_type_symbol
_atom_site_fract_x
_atom_site_fract_y
_atom_site_fract_z
Y1 Y 0.0000 0.0000 0.0000
Co1 Co 0.0116 0.5000 0.5343
Co2 Co 0.1934 0.0000 0.5798
Rh1 Rh 0.3008 0.5000 0.4015
```



Entry 8:
Y8CoRh2 after structural relaxation. Source: the Alexandria database, functional PBE-GGA.

Density of states at the Fermi level ... 24.4 states/eV per cell
Electronic total energy ... -153.19 eV for the cell shown
ΔH_f (0 K) ... -279.6 meV per atom

```
data_Y8CoRh2
_space_group_name_H-M_alt 'C 1 m 1'
_space_group_IT_number 8
_cell_length_a 8.2994
_cell_length_b 12.4592
_cell_length_c 6.1019
_cell_angle_alpha 90.00
_cell_angle_beta 110.42
_cell_angle_gamma 90.00
loop_
_space_group_symop_operation_xyz
'x,y,z'
'x,-y,z'
'x+1/2,y+1/2,z'
'x+1/2,-y+1/2,z'
loop_
_atom_site_label
_atom_site_type_symbol
_atom_site_fract_x
_atom_site_fract_y
_atom_site_fract_z
Y1 Y 0.0000 0.0000 0.0000
Y2 Y 0.0592 0.3703 0.7993
Y3 Y 0.1370 0.1305 0.5854
Y4 Y 0.2078 0.5000 0.3681
Y5 Y 0.3561 0.2015 0.1815
Co1 Co 0.3602 0.0000 0.9977
Rh1 Rh 0.3461 0.3136 0.6875
```



Entry 9:
Y5CoRh4 after structural relaxation. Source: the Alexandria database, functional PBE-GGA.

Density of states at the Fermi level ... 5.7 states/eV per cell
Electronic total energy ... -75.74 eV for the cell shown
ΔH_f (0 K) ... -690.7 meV per atom

```
data_Y5CoRh4
_space_group_name_H-M_alt 'P 4/m m m'
_space_group_IT_number 123
_space_group_name_Hall '-P 4 2'
_cell_length_a 3.4133
_cell_length_b 3.4133
_cell_length_c 17.2278
_cell_angle_alpha 90.00
_cell_angle_beta 90.00
_cell_angle_gamma 90.00
loop_
_atom_site_label
_atom_site_type_symbol
_atom_site_fract_x
_atom_site_fract_y
_atom_site_fract_z
Y1 Y 0.0000 0.0000 0.0000
Y2 Y 0.0000 0.0000 0.2017
Y3 Y 0.0000 0.0000 0.4032
Co1 Co 0.5000 0.5000 0.5000
Rh1 Rh 0.5000 0.5000 0.1008
Rh2 Rh 0.5000 0.5000 0.3016
```



Entry 10:
Y3CoRh after structural relaxation. Source: the Alexandria database, functional PBE-GGA.

Density of states at the Fermi level ... 9.4 states/eV per cell
Electronic total energy ... -72.22 eV for the cell shown
Excess energy over the best structure of this formula in the dataset ... 0.000 eV per atom
ΔH_f (0 K) ... -452.4 meV per atom

```
data_Y3CoRh
_space_group_name_H-M_alt 'P 1 21/m 1'
_space_group_IT_number 11
_cell_length_a 7.6216
_cell_length_b 3.9545
_cell_length_c 8.2114
_cell_angle_alpha 90.00
_cell_angle_beta 110.70
_cell_angle_gamma 90.00
loop_
_space_group_symop_operation_xyz
'x,y,z'
'-x,-y,-z'
'-x,y+1/2,-z'
'x,-y+1/2,z'
loop_
_atom_site_label
_atom_site_type_symbol
_atom_site_fract_x
_atom_site_fract_y
_atom_site_fract_z
Y1 Y 0.0934 0.2500 0.2315
Y2 Y 0.3073 0.2500 0.9229
Y3 Y 0.3633 0.7500 0.5976
Co1 Co 0.0448 0.2500 0.5644
Rh1 Rh 0.3598 0.7500 0.1917
```



Entry 11:
YCo2Rh after structural relaxation. Source: the Alexandria database, functional PBE-GGA.

Density of states at the Fermi level ... 33.3 states/eV per cell
Electronic total energy ... -111.53 eV for the cell shown
ΔH_f (0 K) ... 36.0 meV per atom

```
data_YCo2Rh
_space_group_name_H-M_alt 'F m -3 m'
_space_group_IT_number 225
_space_group_name_Hall '-F 4 2 3'
_cell_length_a 6.2902
_cell_length_b 6.2902
_cell_length_c 6.2902
_cell_angle_alpha 90.00
_cell_angle_beta 90.00
_cell_angle_gamma 90.00
loop_
_atom_site_label
_atom_site_type_symbol
_atom_site_fract_x
_atom_site_fract_y
_atom_site_fract_z
Y1 Y 0.0000 0.0000 0.0000
Co1 Co 0.2500 0.2500 0.2500
Rh1 Rh 0.0000 0.0000 0.5000
```



Entry 12:
YCo2Rh after structural relaxation. Source: the Alexandria database, functional PBE-GGA.

Density of states at the Fermi level ... 11.5 states/eV per cell
Electronic total energy ... -56.03 eV for the cell shown
ΔH_f (0 K) ... 2.5 meV per atom

```
data_YCo2Rh
_space_group_name_H-M_alt 'I 4/m m m'
_space_group_IT_number 139
_space_group_name_Hall '-I 4 2'
_cell_length_a 3.8617
_cell_length_b 3.8617
_cell_length_c 8.4653
_cell_angle_alpha 90.00
_cell_angle_beta 90.00
_cell_angle_gamma 90.00
loop_
_atom_site_label
_atom_site_type_symbol
_atom_site_fract_x
_atom_site_fract_y
_atom_site_fract_z
Y1 Y 0.0000 0.0000 0.0000
Co1 Co 0.0000 0.5000 0.2500
Rh1 Rh 0.0000 0.0000 0.5000
```



Entry 13:
YCoRh4 after structural relaxation. Source: the Alexandria database, functional PBE-GGA.

Density of states at the Fermi level ... 37.7 states/eV per cell
Electronic total energy ... -174.86 eV for the cell shown
ΔH_f (0 K) ... -123.2 meV per atom

```
data_YCoRh4
_space_group_name_H-M_alt 'F -4 3 m'
_space_group_IT_number 216
_space_group_name_Hall 'F -4 2 3'
_cell_length_a 7.3562
_cell_length_b 7.3562
_cell_length_c 7.3562
_cell_angle_alpha 90.00
_cell_angle_beta 90.00
_cell_angle_gamma 90.00
loop_
_atom_site_label
_atom_site_type_symbol
_atom_site_fract_x
_atom_site_fract_y
_atom_site_fract_z
Y1 Y 0.0000 0.0000 0.0000
Co1 Co 0.2500 0.2500 0.7500
Rh1 Rh 0.1245 0.1245 0.3755
```



Entry 14:
YCoRh2 after structural relaxation. Source: the Alexandria database, functional PBE-GGA.

Density of states at the Fermi level ... 4.9 states/eV per cell
Electronic total energy ... -28.71 eV for the cell shown
ΔH_f (0 K) ... -108.1 meV per atom

```
data_YCoRh2
_space_group_name_H-M_alt 'P m m 2'
_space_group_IT_number 25
_cell_length_a 2.9786
_cell_length_b 3.7147
_cell_length_c 5.9449
_cell_angle_alpha 90.00
_cell_angle_beta 90.00
_cell_angle_gamma 90.00
loop_
_space_group_symop_operation_xyz
'x,y,z'
'-x,-y,z'
'-x,y,z'
'x,-y,z'
loop_
_atom_site_label
_atom_site_type_symbol
_atom_site_fract_x
_atom_site_fract_y
_atom_site_fract_z
Y1 Y 0.0000 0.0000 0.0000
Co1 Co 0.5000 0.5000 0.3073
Rh1 Rh 0.0000 0.0000 0.4760
Rh2 Rh 0.5000 0.5000 0.7295
```



Entry 15:
YCoRh2 after structural relaxation. Source: the Alexandria database, functional PBE-GGA.

Density of states at the Fermi level ... 19.0 states/eV per cell
Electronic total energy ... -87.50 eV for the cell shown
ΔH_f (0 K) ... -223.3 meV per atom

```
data_YCoRh2
_space_group_name_H-M_alt 'R -3 m'
_space_group_IT_number 166
_space_group_name_Hall '-R 3 2"'
_cell_length_a 4.2556
_cell_length_b 4.2556
_cell_length_c 13.9640
_cell_angle_alpha 90.00
_cell_angle_beta 90.00
_cell_angle_gamma 120.00
loop_
_atom_site_label
_atom_site_type_symbol
_atom_site_fract_x
_atom_site_fract_y
_atom_site_fract_z
Y1 Y 0.0000 0.0000 0.0000
Co1 Co 0.0000 0.0000 0.5000
Rh1 Rh 0.0000 0.0000 0.2051
```



Entry 16:
YCo2Rh after structural relaxation. Source: the Alexandria database, functional PBE-GGA.

Density of states at the Fermi level ... 5.9 states/eV per cell
Electronic total energy ... -27.58 eV for the cell shown
ΔH_f (0 K) ... 111.4 meV per atom

```
data_YCo2Rh
_space_group_name_H-M_alt 'P 1 2/m 1'
_space_group_IT_number 10
_cell_length_a 3.0131
_cell_length_b 4.3464
_cell_length_c 5.1669
_cell_angle_alpha 90.00
_cell_angle_beta 103.29
_cell_angle_gamma 90.00
loop_
_space_group_symop_operation_xyz
'x,y,z'
'-x,-y,-z'
'-x,y,-z'
'x,-y,z'
loop_
_atom_site_label
_atom_site_type_symbol
_atom_site_fract_x
_atom_site_fract_y
_atom_site_fract_z
Y1 Y 0.0000 0.0000 0.0000
Co1 Co 0.3104 0.5000 0.6899
Rh1 Rh 0.5000 0.0000 0.5000
```



Entry 17:
YCo2Rh after structural relaxation. Source: the Alexandria database, functional PBE-GGA.

Density of states at the Fermi level ... 13.7 states/eV per cell
Electronic total energy ... -55.92 eV for the cell shown
ΔH_f (0 K) ... 17.0 meV per atom

```
data_YCo2Rh
_space_group_name_H-M_alt 'I -4 m 2'
_space_group_IT_number 119
_space_group_name_Hall 'I -4 -2'
_cell_length_a 4.0399
_cell_length_b 4.0399
_cell_length_c 7.6806
_cell_angle_alpha 90.00
_cell_angle_beta 90.00
_cell_angle_gamma 90.00
loop_
_atom_site_label
_atom_site_type_symbol
_atom_site_fract_x
_atom_site_fract_y
_atom_site_fract_z
Y1 Y 0.0000 0.0000 0.0000
Co1 Co 0.0000 0.0000 0.5000
Co2 Co 0.0000 0.5000 0.7500
Rh1 Rh 0.0000 0.5000 0.2500
```



Entry 18:
YCo2Rh after structural relaxation. Source: the Alexandria database, functional PBE-GGA.

Density of states at the Fermi level ... 4.8 states/eV per cell
Electronic total energy ... -28.16 eV for the cell shown
ΔH_f (0 K) ... -32.6 meV per atom

```
data_YCo2Rh
_space_group_name_H-M_alt 'P 4 m m'
_space_group_IT_number 99
_cell_length_a 3.1339
_cell_length_b 3.1339
_cell_length_c 6.4562
_cell_angle_alpha 90.00
_cell_angle_beta 90.00
_cell_angle_gamma 90.00
loop_
_space_group_symop_operation_xyz
'x,y,z'
'-y,x,z'
'-x,-y,z'
'y,-x,z'
'-x,y,z'
'y,x,z'
'x,-y,z'
'-y,-x,z'
loop_
_atom_site_label
_atom_site_type_symbol
_atom_site_fract_x
_atom_site_fract_y
_atom_site_fract_z
Y1 Y 0.0000 0.0000 0.0000
Co1 Co 0.0000 0.0000 0.4749
Co2 Co 0.5000 0.5000 0.3135
Rh1 Rh 0.5000 0.5000 0.7086
```



Entry 19:
YCo2Rh after structural relaxation. Source: the Alexandria database, functional PBE-GGA.

Density of states at the Fermi level ... 8.4 states/eV per cell
Electronic total energy ... -56.07 eV for the cell shown
ΔH_f (0 K) ... -2.4 meV per atom

```
data_YCo2Rh
_space_group_name_H-M_alt 'A m m 2'
_space_group_IT_number 38
_cell_length_a 3.9973
_cell_length_b 3.0776
_cell_length_c 10.3707
_cell_angle_alpha 90.00
_cell_angle_beta 90.00
_cell_angle_gamma 90.00
loop_
_space_group_symop_operation_xyz
'x,y,z'
'-x,-y,z'
'-x,y,z'
'x,-y,z'
'x,y+1/2,z+1/2'
'-x,-y+1/2,z+1/2'
'-x,y+1/2,z+1/2'
'x,-y+1/2,z+1/2'
loop_
_atom_site_label
_atom_site_type_symbol
_atom_site_fract_x
_atom_site_fract_y
_atom_site_fract_z
Y1 Y 0.0000 0.0000 0.0000
Co1 Co 0.0000 0.0000 0.7387
Co2 Co 0.5000 0.0000 0.6322
Rh1 Rh 0.5000 0.0000 0.3332
```



Entry 20:
YCo2Rh after structural relaxation. Source: the Alexandria database, functional PBE-GGA.

Density of states at the Fermi level ... 17.5 states/eV per cell
Electronic total energy ... -85.68 eV for the cell shown
ΔH_f (0 K) ... -133.2 meV per atom

```
data_YCo2Rh
_space_group_name_H-M_alt 'R -3 m'
_space_group_IT_number 166
_space_group_name_Hall '-R 3 2"'
_cell_length_a 4.1785
_cell_length_b 4.1785
_cell_length_c 13.8866
_cell_angle_alpha 90.00
_cell_angle_beta 90.00
_cell_angle_gamma 120.00
loop_
_atom_site_label
_atom_site_type_symbol
_atom_site_fract_x
_atom_site_fract_y
_atom_site_fract_z
Y1 Y 0.0000 0.0000 0.0000
Co1 Co 0.0000 0.0000 0.1907
Rh1 Rh 0.0000 0.0000 0.5000
```